(1)
{
  "formula": "CaAgRh2",
  "functional": "PBE",
  "state": "optimized geometry",
  "mass_density_g_cm3": 8.4,
  "final_energy_ev_per_cell": -19.8,
  "formation_energy_kj_per_mol_fu": -22,
  "spacegroup": "Cm, No. 8",
  "lattice": [[5.549, 0.138, 0.570], [4.685, 2.977, 0.570], [1.786, 0.544, 4.620]],
  "species": ["Rh", "Rh", "Ca", "Ag"],
  "fractional_positions": [[0.264, 0.264, 0.156], [0.980, 0.980, 0.096], [0.742, 0.742, 0.697], [0.513, 0.513, 0.551]]
}

(2)
{
  "formula": "CaAgRh2",
  "functional": "PBE",
  "state": "optimized geometry",
  "mass_density_g_cm3": 8.4,
  "final_energy_ev_per_cell": -19.7,
  "formation_energy_kj_per_mol_fu": -11,
  "spacegroup": "P4/mmm, No. 123",
  "lattice": [[4.192, 0.000, 0.000], [0.000, 4.089, 0.000], [0.000, 0.000, 4.089]],
  "species": ["Ag", "Rh", "Rh", "Ca"],
  "fractional_positions": [[0.500, 0.500, 0.000], [0.000, 0.500, 0.500], [0.000, 0.000, 0.000], [0.500, 0.000, 0.500]]
}

(3)
{
  "formula": "Ca8Ag2Rh",
  "functional": "PBE",
  "state": "optimized geometry",
  "de_polymorph_ev_per_atom": 0.000,
  "mass_density_g_cm3": 3.1,
  "final_energy_ev_per_cell": -31.3,
  "formation_energy_kj_per_mol_fu": -217,
  "spacegroup": "C2/m, No. 12",
  "lattice": [[-2.431, -3.640, -3.039], [-3.159, -2.741, 5.811], [-4.382, 8.416, -1.903]],
  "species": ["Ca", "Ca", "Ca", "Ca", "Ca", "Ca", "Ca", "Ca", "Ag", "Ag", "Rh"],
  "fractional_positions": [[0.973, 0.200, 0.946], [0.027, 0.800, 0.054], [0.345, 0.040, 0.690], [0.655, 0.960, 0.310], [0.793, 0.693, 0.587], [0.207, 0.307, 0.413], [0.590, 0.418, 0.179], [0.410, 0.582, 0.821], [0.183, 0.711, 0.367], [0.817, 0.289, 0.633], [0.500, 0.000, 0.000]]
}

(4)
{
  "formula": "CaAgRh2",
  "functional": "PBE",
  "state": "optimized geometry",
  "mass_density_g_cm3": 8.3,
  "final_energy_ev_per_cell": -19.2,
  "formation_energy_kj_per_mol_fu": 37,
  "spacegroup": "Pmmm, No. 47",
  "lattice": [[-2.840, -0.102, -0.474], [0.700, -0.396, -4.103], [0.113, -5.869, 0.586]],
  "species": ["Ca", "Rh", "Rh", "Ag"],
  "fractional_positions": [[0.500, 0.500, 0.750], [0.000, 0.000, 0.477], [0.000, 0.000, 0.023], [0.500, 0.500, 0.250]]
}

(5)
{
  "formula": "Ca2AgRh",
  "functional": "PBE",
  "state": "optimized geometry",
  "mass_density_g_cm3": 5.6,
  "final_energy_ev_per_cell": -14.7,
  "formation_energy_kj_per_mol_fu": -44,
  "spacegroup": "F-43m, No. 216",
  "lattice": [[4.963, 0.000, 0.000], [2.481, 4.298, 0.000], [2.481, 1.433, 4.052]],
  "species": ["Ca", "Ca", "Ag", "Rh"],
  "fractional_positions": [[0.000, 0.000, 0.000], [0.250, 0.250, 0.250], [0.500, 0.500, 0.500], [0.750, 0.750, 0.750]]
}

(6)
{
  "formula": "Ca4Ag2Rh",
  "functional": "PBE",
  "state": "optimized geometry",
  "de_polymorph_ev_per_atom": 0.107,
  "mass_density_g_cm3": 3.6,
  "final_energy_ev_per_cell": -22.3,
  "formation_energy_kj_per_mol_fu": -116,
  "spacegroup": "I4/mmm, No. 139",
  "lattice": [[5.363, 0.000, 0.000], [0.000, 5.363, 0.000], [-2.681, -2.681, 7.604]],
  "species": ["Ag", "Ag", "Ca", "Ca", "Ca", "Ca", "Rh"],
  "fractional_positions": [[0.383, 0.383, 0.767], [0.617, 0.617, 0.233], [0.500, 0.000, 0.000], [0.000, 0.500, 0.000], [0.818, 0.818, 0.635], [0.182, 0.182, 0.365], [0.000, 0.000, 0.000]]
}

(7)
{
  "formula": "Ca4AgRh2",
  "functional": "PBE",
  "state": "optimized geometry",
  "mass_density_g_cm3": 4.5,
  "final_energy_ev_per_cell": -27.5,
  "formation_energy_kj_per_mol_fu": -188,
  "spacegroup": "I4/mmm, No. 139",
  "lattice": [[-5.796, 0.703, 1.737], [0.489, 0.042, -6.071], [2.024, -5.355, 2.082]],
  "species": ["Ca", "Ca", "Ca", "Ca", "Ag", "Rh", "Rh"],
  "fractional_positions": [[0.286, 0.785, 0.000], [0.286, 0.286, 0.500], [0.785, 0.286, 0.000], [0.786, 0.786, 0.500], [0.786, 0.786, 0.000], [0.786, 0.286, 0.500], [0.286, 0.786, 0.500]]
}

(8)
{
  "formula": "Ca5Ag4Rh",
  "functional": "PBE",
  "state": "optimized geometry",
  "mass_density_g_cm3": 5.0,
  "final_energy_ev_per_cell": -32.0,
  "formation_energy_kj_per_mol_fu": -309,
  "spacegroup": "P4/mmm, No. 123",
  "lattice": [[-2.617, 2.049, 1.387], [0.513, -1.525, 3.222], [12.618, 13.235, 4.253]],
  "species": ["Ca", "Ca", "Ca", "Ca", "Ca", "Ag", "Ag", "Ag", "Ag", "Rh"],
  "fractional_positions": [[0.500, 0.500, 0.912], [0.500, 0.500, 0.088], [0.500, 0.500, 0.704], [0.500, 0.500, 0.500], [0.500, 0.500, 0.296], [0.000, 0.000, 0.398], [0.000, 0.000, 0.602], [0.000, 0.000, 0.808], [0.000, 0.000, 0.192], [0.000, 0.000, 0.000]]
}

(9)
{
  "formula": "Ca8Ag2Rh",
  "functional": "PBE",
  "state": "optimized geometry",
  "de_polymorph_ev_per_atom": 0.002,
  "mass_density_g_cm3": 2.9,
  "final_energy_ev_per_cell": -31.3,
  "formation_energy_kj_per_mol_fu": -215,
  "spacegroup": "C2/m, No. 12",
  "lattice": [[4.123, 0.000, -1.037], [-0.001, 7.809, -0.005], [0.655, 0.314, 11.325]],
  "species": ["Ag", "Ag", "Ca", "Ca", "Ca", "Ca", "Ca", "Ca", "Ca", "Ca", "Rh"],
  "fractional_positions": [[0.165, 0.694, 0.330], [0.835, 0.306, 0.670], [0.398, 0.522, 0.796], [0.768, 0.704, 0.536], [0.602, 0.478, 0.204], [0.376, 0.015, 0.752], [0.994, 0.229, 0.988], [0.232, 0.296, 0.464], [0.006, 0.771, 0.012], [0.624, 0.985, 0.248], [0.500, 0.000, 0.000]]
}

(10)
{
  "formula": "CaAgRh2",
  "functional": "PBE",
  "state": "optimized geometry",
  "mass_density_g_cm3": 7.8,
  "final_energy_ev_per_cell": -19.5,
  "formation_energy_kj_per_mol_fu": 10,
  "spacegroup": "P4mm, No. 99",
  "lattice": [[-0.347, -3.100, 1.099], [1.737, -1.111, -2.586], [5.786, 0.633, 3.615]],
  "species": ["Ag", "Ca", "Rh", "Rh"],
  "fractional_positions": [[0.000, 0.000, 0.461], [0.500, 0.500, 0.770], [0.000, 0.000, 0.046], [0.500, 0.500, 0.224]]
}

(11)
{
  "formula": "Ca8Ag2Rh3",
  "functional": "PBE",
  "state": "optimized geometry",
  "mass_density_g_cm3": 3.9,
  "final_energy_ev_per_cell": -47.5,
  "formation_energy_kj_per_mol_fu": -362,
  "spacegroup": "Cmmm, No. 65",
  "lattice": [[-1.744, -4.199, -2.069], [7.460, 0.160, -6.612], [0.346, -3.991, 7.808]],
  "species": ["Ca", "Ca", "Ca", "Ca", "Ca", "Ca", "Ca", "Ca", "Rh", "Rh", "Rh", "Ag", "Ag"],
  "fractional_positions": [[0.000, 0.385, 0.769], [0.500, 0.638, 0.771], [0.000, 0.115, 0.229], [0.500, 0.362, 0.229], [0.000, 0.885, 0.771], [0.500, 0.867, 0.229], [0.000, 0.615, 0.231], [0.500, 0.133, 0.771], [0.500, 0.000, 0.000], [0.000, 0.248, 0.000], [0.000, 0.752, 0.000], [0.500, 0.248, 0.496], [0.500, 0.752, 0.504]]
}

(12)
{
  "formula": "CaAgRh2",
  "functional": "PBE",
  "state": "optimized geometry",
  "mass_density_g_cm3": 8.4,
  "final_energy_ev_per_cell": -19.4,
  "formation_energy_kj_per_mol_fu": 16,
  "spacegroup": "Cmmm, No. 65",
  "lattice": [[4.942, -0.012, 0.000], [-1.494, 4.710, 0.000], [0.000, 0.000, 2.994]],
  "species": ["Ca", "Rh", "Rh", "Ag"],
  "fractional_positions": [[0.000, 0.500, 0.500], [0.500, 0.500, 0.000], [0.000, 0.000, 0.000], [0.500, 0.000, 0.500]]
}

(13)
{
  "formula": "Ca2AgRh",
  "functional": "PBE",
  "state": "optimized geometry",
  "mass_density_g_cm3": 5.5,
  "final_energy_ev_per_cell": -15.0,
  "formation_energy_kj_per_mol_fu": -76,
  "spacegroup": "I-4m2, No. 119",
  "lattice": [[5.677, -0.021, 0.000], [2.440, 5.126, 0.000], [-4.059, -2.552, 3.040]],
  "species": ["Ag", "Rh", "Ca", "Ca"],
  "fractional_positions": [[0.750, 0.250, 0.500], [0.500, 0.500, 0.000], [0.250, 0.750, 0.500], [0.000, 0.000, 0.000]]
}

(14)
{
  "formula": "Ca2AgRh",
  "functional": "PBE",
  "state": "optimized geometry",
  "mass_density_g_cm3": 5.3,
  "final_energy_ev_per_cell": -15.6,
  "formation_energy_kj_per_mol_fu": -138,
  "spacegroup": "P2/m, No. 10",
  "lattice": [[-1.371, -1.197, -2.954], [1.299, -3.154, 0.675], [-5.007, -4.982, 4.342]],
  "species": ["Ag", "Ca", "Ca", "Rh"],
  "fractional_positions": [[0.500, 0.750, 0.750], [0.000, 0.974, 0.026], [0.000, 0.526, 0.474], [0.500, 0.250, 0.250]]
}

(15)
{
  "formula": "Ca2AgRh",
  "functional": "PBE",
  "state": "optimized geometry",
  "mass_density_g_cm3": 5.4,
  "final_energy_ev_per_cell": -15.5,
  "formation_energy_kj_per_mol_fu": -126,
  "spacegroup": "Fm-3m, No. 225",
  "lattice": [[5.024, 0.000, 0.000], [2.512, 4.351, 0.000], [2.512, 1.450, 4.102]],
  "species": ["Ca", "Ca", "Ag", "Rh"],
  "fractional_positions": [[0.000, 0.000, 0.000], [0.500, 0.500, 0.500], [0.250, 0.250, 0.250], [0.750, 0.750, 0.750]]
}

(16)
{
  "formula": "Ca2AgRh",
  "functional": "PBE",
  "state": "optimized geometry",
  "mass_density_g_cm3": 4.8,
  "final_energy_ev_per_cell": -14.7,
  "formation_energy_kj_per_mol_fu": -45,
  "spacegroup": "P4mm, No. 99",
  "lattice": [[3.591, 0.000, 0.000], [0.000, 3.591, 0.000], [0.000, 0.000, 7.800]],
  "species": ["Rh", "Ca", "Ca", "Ag"],
  "fractional_positions": [[0.000, 0.000, 0.536], [0.500, 0.500, 0.332], [0.000, 0.000, 0.924], [0.500, 0.500, 0.709]]
}

(17)
{
  "formula": "CaAgRh2",
  "functional": "PBE",
  "state": "optimized geometry",
  "mass_density_g_cm3": 7.2,
  "final_energy_ev_per_cell": -37.3,
  "formation_energy_kj_per_mol_fu": 87,
  "spacegroup": "I-42d, No. 122",
  "lattice": [[-3.375, 0.602, -2.265], [-1.914, -3.000, 2.055], [-5.820, 5.240, 6.337]],
  "species": ["Ag", "Ag", "Rh", "Rh", "Rh", "Rh", "Ca", "Ca"],
  "fractional_positions": [[0.000, 0.000, 0.000], [0.750, 0.250, 0.500], [0.375, 0.299, 0.750], [0.701, 0.125, 0.250], [0.875, 0.951, 0.750], [0.049, 0.625, 0.250], [0.500, 0.500, 0.000], [0.250, 0.750, 0.500]]
}

(18)
{
  "formula": "CaAgRh2",
  "functional": "PBE",
  "state": "optimized geometry",
  "mass_density_g_cm3": 8.3,
  "final_energy_ev_per_cell": -19.3,
  "formation_energy_kj_per_mol_fu": 23,
  "spacegroup": "P2/m, No. 10",
  "lattice": [[4.676, 0.000, 0.000], [0.000, 2.908, -0.014], [0.000, 0.845, 5.221]],
  "species": ["Rh", "Rh", "Ca", "Ag"],
  "fractional_positions": [[0.000, 0.438, 0.477], [0.000, 0.062, 0.023], [0.500, 0.750, 0.750], [0.500, 0.250, 0.250]]
}

(19)
{
  "formula": "Ca11Ag9Rh4",
  "functional": "PBE",
  "state": "optimized geometry",
  "mass_density_g_cm3": 5.3,
  "final_energy_ev_per_cell": -84.4,
  "formation_energy_kj_per_mol_fu": -704,
  "spacegroup": "Cmmm, No. 65",
  "lattice": [[-0.226, 3.568, 1.434], [-9.868, -3.488, 7.128], [11.084, -1.667, 5.892]],
  "species": ["Ag", "Ag", "Ag", "Ag", "Ag", "Ag", "Ag", "Ag", "Ag", "Ca", "Ca", "Ca", "Ca", "Ca", "Ca", "Ca", "Ca", "Ca", "Ca", "Ca", "Rh", "Rh", "Rh", "Rh"],
  "fractional_positions": [[0.500, 0.784, 0.928], [0.500, 0.500, 0.500], [0.500, 0.629, 0.160], [0.500, 0.072, 0.216], [0.500, 0.160, 0.629], [0.500, 0.371, 0.840], [0.500, 0.216, 0.072], [0.500, 0.840, 0.371], [0.500, 0.928, 0.784], [0.000, 0.416, 0.081], [0.000, 0.697, 0.697], [0.000, 0.919, 0.584], [0.000, 0.081, 0.416], [0.000, 0.832, 0.168], [0.000, 0.168, 0.832], [0.000, 0.628, 0.372], [0.000, 0.000, 0.000], [0.000, 0.372, 0.628], [0.000, 0.584, 0.919], [0.000, 0.303, 0.303], [0.500, 0.254, 0.449], [0.500, 0.551, 0.746], [0.500, 0.746, 0.551], [0.500, 0.449, 0.254]]
}

(20)
{
  "formula": "CaAgRh2",
  "functional": "PBE",
  "state": "optimized geometry",
  "mass_density_g_cm3": 8.3,
  "final_energy_ev_per_cell": -19.4,
  "formation_energy_kj_per_mol_fu": 14,
  "spacegroup": "I4/mmm, No. 139",
  "lattice": [[-2.127, -2.467, -3.894], [3.595, -2.211, -2.822], [-0.932, -0.066, 4.990]],
  "species": ["Ag", "Ca", "Rh", "Rh"],
  "fractional_positions": [[0.250, 0.750, 0.500], [0.750, 0.250, 0.500], [0.000, 0.000, 0.000], [0.500, 0.500, 0.000]]
}